This record from Alexandria describes crystalline Sr2TbReN4 at its relaxed geometry. The functional is PBE.

Cell and atoms, written as POSCAR:
```
Sr2TbReN4
1.0
-4.557 0.745 3.252
2.783 -4.222 4.867
3.348 6.026 3.312
Sr Tb Re N
4 2 2 8
Direct
0.464 0.340 0.246
0.464 0.340 0.754
0.964 0.660 0.746
0.964 0.660 0.254
0.980 0.160 0.500
0.480 0.840 0.000
0.505 0.849 0.500
0.005 0.151 0.000
0.333 0.132 0.000
0.833 0.868 0.500
0.383 0.097 0.500
0.883 0.903 0.000
0.436 0.720 0.709
0.936 0.280 0.209
0.936 0.280 0.791
0.436 0.720 0.291
```

## Properties
- Uncorrected energy: -119.7 eV/cell
- ρ: 6.315 g/cm³
- Size of the total moment: 1.16 μB/f.u.

=====

This record from Alexandria describes crystalline Sr2TbRe2N6 at its relaxed geometry. The functional is PBE.

Cell and atoms, written as POSCAR:
```
Sr2TbRe2N6
1.0
-4.793 3.833 -0.685
-5.668 -1.820 1.642
-2.585 2.771 5.762
Sr Tb Re N
2 1 2 6
Direct
0.792 0.792 0.623
0.208 0.208 0.377
0.000 0.000 0.000
0.419 0.419 0.744
0.581 0.581 0.256
0.747 0.747 0.264
0.242 0.747 0.264
0.747 0.242 0.264
0.253 0.758 0.736
0.758 0.253 0.736
0.253 0.253 0.736
```

## Properties
- Uncorrected energy: -89.4 eV/cell
- ρ: 6.733 g/cm³
- Size of the total moment: 1.01 μB/f.u.

=====

This record from Alexandria describes crystalline Sr2Re2TcN6 at its relaxed geometry. The functional is PBE.

Cell and atoms, written as POSCAR:
```
Sr2Re2TcN6
1.0
5.825 0.000 0.000
2.912 5.044 0.000
2.912 1.681 6.233
Sr Re Tc N
2 2 1 6
Direct
0.743 0.743 0.772
0.257 0.257 0.228
0.429 0.429 0.713
0.571 0.571 0.287
0.000 0.000 0.000
0.772 0.772 0.193
0.262 0.772 0.193
0.772 0.262 0.193
0.228 0.738 0.807
0.738 0.228 0.807
0.228 0.228 0.807
```

## Properties
- Uncorrected energy: -93.0 eV/cell
- ρ: 6.616 g/cm³
- Size of the total moment: 0.00 μB/f.u.

=====

This record from Alexandria describes crystalline Sr2ReTcN4 at its relaxed geometry. The functional is PBE.

Cell and atoms, written as POSCAR:
```
Sr2ReTcN4
1.0
5.789 0.000 0.000
0.000 6.082 0.000
0.000 0.000 7.228
Sr Re Tc N
4 2 2 8
Direct
0.500 0.252 0.250
0.500 0.252 0.750
0.000 0.748 0.750
0.000 0.748 0.250
0.500 0.797 0.500
0.000 0.203 0.000
0.000 0.208 0.500
0.500 0.792 0.000
0.249 0.001 0.000
0.749 0.999 0.500
0.251 0.999 0.500
0.751 0.001 0.000
0.500 0.670 0.746
0.000 0.330 0.246
0.000 0.330 0.754
0.500 0.670 0.254
```

## Properties
- Uncorrected energy: -126.4 eV/cell
- ρ: 6.728 g/cm³
- Size of the total moment: 0.00 μB/f.u.

=====

This record from Alexandria describes crystalline SrReTe2N at its relaxed geometry. The functional is PBE.

Cell and atoms, written as POSCAR:
```
SrReTe2N
1.0
5.668 0.000 0.000
0.000 5.668 0.000
0.000 0.000 3.816
Re N Te Sr
1 1 2 1
Direct
0.000 0.000 0.000
0.000 0.000 0.500
0.000 0.500 0.000
0.500 0.000 0.000
0.500 0.500 0.500
```

## Properties
- Uncorrected energy: -30.2 eV/cell
- Energy relative to the lowest polymorph listed for this composition: 0 meV/atom
- ρ: 7.356 g/cm³
- Size of the total moment: 0.85 μB/f.u.

=====

This record from Alexandria describes crystalline SrReTe2N at its relaxed geometry. The functional is PBE.

Cell and atoms, written as POSCAR:
```
SrReTe2N
1.0
-4.370 -2.344 3.645
-3.119 -1.891 -4.956
2.297 -4.098 0.118
Re N Te Sr
1 1 2 1
Direct
0.500 0.500 0.500
0.000 0.000 0.500
0.000 0.500 0.000
0.500 0.000 0.000
0.000 0.000 0.000
```

## Properties
- Uncorrected energy: -19.7 eV/cell
- Energy relative to the lowest polymorph listed for this composition: 2110 meV/atom
- ρ: 5.067 g/cm³
- Size of the total moment: 6.77 μB/f.u.

=====

This record from Alexandria describes crystalline Sr2ThRe2N6 at its relaxed geometry. The functional is PBE.

Cell and atoms, written as POSCAR:
```
Sr2ThRe2N6
1.0
-3.313 4.963 -1.167
2.742 -2.964 -4.550
-5.699 -3.162 2.727
Sr Th Re N
2 1 2 6
Direct
0.709 0.418 0.125
0.291 0.582 0.875
0.500 0.000 0.500
0.905 0.809 0.711
0.095 0.191 0.289
0.756 0.512 0.768
0.242 0.983 0.230
0.259 0.017 0.770
0.758 0.017 0.770
0.741 0.983 0.230
0.244 0.488 0.232
```

## Properties
- Uncorrected energy: -93.6 eV/cell
- ρ: 7.324 g/cm³
- Size of the total moment: 0.00 μB/f.u.

=====

This record from Alexandria describes crystalline Sr3Th3ReN8 at its relaxed geometry. The functional is PBE.

Cell and atoms, written as POSCAR:
```
Sr3Th3ReN8
1.0
7.103 0.000 0.000
-3.552 6.149 -0.022
0.000 -4.079 6.058
Sr Th Re N
3 3 1 8
Direct
0.000 0.000 0.000
0.000 0.500 0.000
0.500 0.500 0.000
0.500 0.000 0.500
0.500 0.500 0.500
0.000 0.500 0.500
0.000 0.000 0.500
0.260 0.520 0.279
0.740 0.480 0.721
0.793 0.586 0.315
0.207 0.414 0.685
0.793 0.022 0.315
0.207 0.978 0.685
0.230 0.022 0.315
0.770 0.978 0.685
```

## Properties
- Uncorrected energy: -121.1 eV/cell
- ρ: 7.909 g/cm³
- Size of the total moment: 0.16 μB/f.u.

=====

This record from Alexandria describes crystalline SrTh2ReN5 at its relaxed geometry. The functional is PBE.

Cell and atoms, written as POSCAR:
```
SrTh2ReN5
1.0
6.930 0.000 0.000
0.000 6.930 0.000
-3.465 -3.465 5.836
Sr Th Re N
2 4 2 10
Direct
0.250 0.250 0.500
0.750 0.750 0.500
0.182 0.318 0.000
0.682 0.182 0.000
0.318 0.818 0.000
0.818 0.682 0.000
0.250 0.750 0.500
0.750 0.250 0.500
0.999 0.499 0.281
0.718 0.218 0.719
0.001 0.501 0.719
0.218 0.001 0.719
0.501 0.718 0.719
0.782 0.999 0.281
0.499 0.282 0.281
0.282 0.782 0.281
0.500 0.500 0.000
0.000 0.000 0.000
```

## Properties
- Uncorrected energy: -160.7 eV/cell
- ρ: 9.574 g/cm³
- Size of the total moment: 0.00 μB/f.u.

=====

This record from Alexandria describes crystalline Sr2TlReN at its relaxed geometry. The functional is PBE.

Cell and atoms, written as POSCAR:
```
Sr2TlReN
1.0
-3.914 -3.382 1.911
3.804 -3.887 0.912
0.559 1.396 3.615
Re Tl N Sr
1 1 1 2
Direct
0.000 0.000 0.500
0.500 0.500 0.500
0.000 0.000 0.000
0.000 0.500 0.000
0.500 0.000 0.000
```

## Properties
- Uncorrected energy: -27.6 eV/cell
- ρ: 8.086 g/cm³
- Size of the total moment: 0.00 μB/f.u.

=====

This record from Alexandria describes crystalline Sr2ReWN5 at its relaxed geometry. The functional is PBE.

Cell and atoms, written as POSCAR:
```
Sr2ReWN5
1.0
-2.423 0.355 -2.230
-1.310 -6.867 2.789
-6.445 4.356 7.698
Sr Re W N
4 2 2 10
Direct
0.891 0.781 0.842
0.143 0.287 0.709
0.109 0.219 0.342
0.857 0.713 0.209
0.551 0.102 0.072
0.449 0.898 0.572
0.780 0.560 0.489
0.220 0.440 0.989
0.342 0.683 0.017
0.713 0.427 0.874
0.502 0.004 0.720
0.320 0.640 0.616
0.950 0.900 0.486
0.658 0.317 0.517
0.287 0.573 0.374
0.498 0.996 0.220
0.680 0.360 0.116
0.050 0.100 0.986
```

## Properties
- Uncorrected energy: -150.1 eV/cell
- ρ: 7.678 g/cm³
- Size of the total moment: 0.00 μB/f.u.

=====

This record from Alexandria describes crystalline Sr2YRe2N6 at its relaxed geometry. The functional is PBE.

Cell and atoms, written as POSCAR:
```
Sr2YRe2N6
1.0
6.177 0.000 0.000
3.088 5.349 0.000
3.088 1.783 5.902
Sr Y Re N
2 1 2 6
Direct
0.792 0.792 0.624
0.208 0.208 0.376
0.000 0.000 0.000
0.419 0.419 0.742
0.581 0.581 0.258
0.748 0.748 0.261
0.243 0.748 0.261
0.748 0.243 0.261
0.252 0.757 0.739
0.757 0.252 0.739
0.252 0.252 0.739
```

## Properties
- Uncorrected energy: -91.2 eV/cell
- ρ: 6.136 g/cm³
- Size of the total moment: 1.01 μB/f.u.

=====

This record from Alexandria describes crystalline SrY2ReN4 at its relaxed geometry. The functional is PBE.

Cell and atoms, written as POSCAR:
```
SrY2ReN4
1.0
-3.271 0.690 0.870
0.345 -6.269 -0.594
2.939 -0.957 11.809
Sr Y Re N
2 4 2 8
Direct
0.065 0.130 0.750
0.935 0.870 0.250
0.372 0.743 0.541
0.628 0.257 0.041
0.628 0.257 0.459
0.372 0.743 0.959
0.808 0.615 0.750
0.192 0.385 0.250
0.259 0.518 0.111
0.741 0.482 0.611
0.741 0.482 0.889
0.259 0.518 0.389
0.000 0.000 0.500
0.000 0.000 0.000
0.398 0.796 0.750
0.602 0.204 0.250
```

## Properties
- Uncorrected energy: -136.1 eV/cell
- ρ: 6.592 g/cm³
- Size of the total moment: 0.00 μB/f.u.

=====

This record from Alexandria describes crystalline Sr2YReN4 at its relaxed geometry. The functional is PBE.

Cell and atoms, written as POSCAR:
```
Sr2YReN4
1.0
5.671 0.000 0.000
0.000 7.004 0.000
0.000 0.000 7.627
Sr Y Re N
4 2 2 8
Direct
0.464 0.339 0.246
0.464 0.339 0.754
0.964 0.661 0.746
0.964 0.661 0.254
0.980 0.162 0.500
0.480 0.838 0.000
0.506 0.849 0.500
0.006 0.151 0.000
0.333 0.130 0.000
0.833 0.870 0.500
0.379 0.096 0.500
0.879 0.904 0.000
0.437 0.719 0.709
0.937 0.281 0.209
0.937 0.281 0.791
0.437 0.719 0.291
```

## Properties
- Uncorrected energy: -123.4 eV/cell
- ρ: 5.552 g/cm³
- Size of the total moment: 1.44 μB/f.u.

=====

This record from Alexandria describes crystalline Sr2ZnReN at its relaxed geometry. The functional is PBE.

Cell and atoms, written as POSCAR:
```
Sr2ZnReN
1.0
-1.688 -3.915 -3.389
1.385 -3.776 3.672
-3.547 0.197 1.540
Re Zn N Sr
1 1 1 2
Direct
0.000 0.000 0.500
0.500 0.500 0.500
0.000 0.000 0.000
0.000 0.500 0.000
0.500 0.000 0.000
```

## Properties
- Uncorrected energy: -26.2 eV/cell
- ρ: 6.374 g/cm³
- Size of the total moment: 0.00 μB/f.u.

=====

This record from Alexandria describes crystalline SrZn2ReN4 at its relaxed geometry. The functional is PBE.

Cell and atoms, written as POSCAR:
```
SrZn2ReN4
1.0
5.370 0.223 0.000
-0.223 5.370 0.000
-2.573 -2.797 3.950
Sr Zn Re N
1 2 1 4
Direct
0.000 0.000 0.000
0.750 0.250 0.500
0.250 0.750 0.500
0.500 0.500 0.000
0.557 0.557 0.719
0.443 0.838 0.281
0.838 0.443 0.281
0.162 0.162 0.719
```

## Properties
- Uncorrected energy: -52.0 eV/cell
- ρ: 6.705 g/cm³
- Size of the total moment: 0.00 μB/f.u.

=====

This record from Alexandria describes crystalline TaReN2 at its relaxed geometry. The functional is PBE.

Cell and atoms, written as POSCAR:
```
TaReN2
1.0
2.902 -1.069 5.873
3.500 -3.577 4.360
5.200 -1.150 3.962
Re N Ta
1 2 1
Direct
0.000 0.000 0.000
0.896 0.896 0.896
0.104 0.104 0.104
0.500 0.500 0.500
```

## Properties
- Uncorrected energy: -41.8 eV/cell
- Energy relative to the lowest polymorph listed for this composition: 0 meV/atom
- ρ: 13.223 g/cm³
- Size of the total moment: 0.00 μB/f.u.

=====

This record from Alexandria describes crystalline TaReN2 at its relaxed geometry. The functional is PBE.

Cell and atoms, written as POSCAR:
```
TaReN2
1.0
4.113 -4.235 3.400
3.778 -5.610 0.818
5.768 -3.456 1.092
Re N Ta
1 2 1
Direct
0.500 0.500 0.500
0.896 0.896 0.896
0.104 0.104 0.104
0.000 0.000 0.000
```

## Properties
- Uncorrected energy: -40.1 eV/cell
- Energy relative to the lowest polymorph listed for this composition: 413 meV/atom
- ρ: 13.243 g/cm³
- Size of the total moment: 0.00 μB/f.u.

=====

This record from Alexandria describes crystalline TaReN3 at its relaxed geometry. The functional is PBE.

Cell and atoms, written as POSCAR:
```
TaReN3
1.0
2.832 0.000 0.738
0.517 6.782 3.820
-0.174 1.241 6.471
Ta Re N
2 2 6
Direct
0.345 0.270 0.039
0.655 0.730 0.961
0.112 0.284 0.493
0.888 0.716 0.507
0.942 0.365 0.751
0.058 0.635 0.249
0.609 0.055 0.727
0.391 0.945 0.273
0.720 0.332 0.229
0.280 0.668 0.771
```

## Properties
- Uncorrected energy: -101.7 eV/cell
- ρ: 12.112 g/cm³
- Size of the total moment: 0.00 μB/f.u.

=====

This record from Alexandria describes crystalline TaReN2 at its relaxed geometry. The functional is PBE.

Cell and atoms, written as POSCAR:
```
TaReN2
1.0
0.000 2.749 2.749
2.749 0.000 2.749
2.749 2.749 0.000
Re N Ta
1 2 1
Direct
0.500 0.500 0.500
0.250 0.250 0.250
0.750 0.750 0.750
0.000 0.000 0.000
```

## Properties
- Uncorrected energy: -39.0 eV/cell
- Energy relative to the lowest polymorph listed for this composition: 693 meV/atom
- ρ: 15.794 g/cm³
- Size of the total moment: 1.32 μB/f.u.

=====

This record from Alexandria describes crystalline Ta3ReN at its relaxed geometry. The functional is PBE.

Cell and atoms, written as POSCAR:
```
Ta3ReN
1.0
4.826 0.000 0.000
0.000 4.826 0.000
0.000 0.000 4.826
Re N Ta
1 1 3
Direct
0.000 0.000 0.000
0.500 0.500 0.500
0.000 0.500 0.000
0.000 0.000 0.500
0.500 0.000 0.000
```

## Properties
- Uncorrected energy: -44.8 eV/cell
- Energy relative to the lowest polymorph listed for this composition: 2682 meV/atom
- ρ: 10.978 g/cm³
- Size of the total moment: 0.00 μB/f.u.

=====

This record from Alexandria describes crystalline Ta3ReN at its relaxed geometry. The functional is PBE.

Cell and atoms, written as POSCAR:
```
Ta3ReN
1.0
-0.695 -4.155 0.400
3.128 -0.786 -2.740
2.764 -0.154 3.200
Re N Ta
1 1 3
Direct
0.500 0.500 0.500
0.000 0.000 0.000
0.000 0.500 0.000
0.000 0.000 0.500
0.500 0.000 0.000
```

## Properties
- Uncorrected energy: -58.2 eV/cell
- Energy relative to the lowest polymorph listed for this composition: 0 meV/atom
- ρ: 16.282 g/cm³
- Size of the total moment: 0.00 μB/f.u.